1.
{
  "formula": "Pr2DyBi2O2",
  "functional": "GGA-PBE",
  "state": "optimized geometry",
  "e_form_raw_kj_per_mol_atoms": -179.5,
  "lattice_angstrom": [[4.424, 0.000, 0.000], [0.000, 4.424, 0.000], [-2.212, -2.212, 8.473]],
  "species": ["Pr", "Pr", "Dy", "Bi", "Bi", "O", "O"],
  "frac_coords": [[0.390, 0.390, 0.780], [0.610, 0.610, 0.220], [0.000, 0.000, 0.000], [0.190, 0.190, 0.380], [0.810, 0.810, 0.620], [0.000, 0.500, 0.000], [0.500, 0.000, 0.000]]
}

---

2.
{
  "formula": "SrZnSi3",
  "functional": "GGA-PBE",
  "state": "optimized geometry",
  "e_form_raw_kj_per_mol_atoms": 40.1,
  "lattice_angstrom": [[4.847, 0.000, 0.000], [0.000, 4.847, 0.000], [0.000, 0.000, 4.847]],
  "species": ["Sr", "Zn", "Si", "Si", "Si"],
  "frac_coords": [[0.500, 0.500, 0.500], [0.000, 0.000, 0.000], [0.000, 0.500, 0.000], [0.000, 0.000, 0.500], [0.500, 0.000, 0.000]]
}

---

3.
{
  "formula": "Cs3AcLa2S6",
  "functional": "GGA-PBE",
  "state": "optimized geometry",
  "e_form_raw_kj_per_mol_atoms": -181.5,
  "lattice_angstrom": [[7.619, -0.001, 0.000], [-3.808, 6.598, 0.000], [-1.270, -2.200, 8.084]],
  "species": ["Cs", "Cs", "Cs", "Ac", "La", "La", "S", "S", "S", "S", "S", "S"],
  "frac_coords": [[0.166, 0.834, 0.500], [0.834, 0.166, 0.500], [0.500, 0.500, 0.500], [0.000, 0.000, 0.000], [0.333, 0.667, 0.000], [0.667, 0.333, 0.000], [0.937, 0.597, 0.812], [0.722, 0.722, 0.188], [0.063, 0.403, 0.188], [0.597, 0.937, 0.812], [0.278, 0.278, 0.812], [0.403, 0.063, 0.188]]
}

---

4.
{
  "formula": "BeZnIn",
  "functional": "GGA-PBE",
  "state": "optimized geometry",
  "delta_e_f_mev_per_atom": 494.4,
  "lattice_angstrom": [[-0.691, 5.105, -4.392], [-1.049, 2.450, -5.882], [-2.574, 1.535, 0.649]],
  "species": ["Be", "Zn", "In"],
  "frac_coords": [[0.990, 0.990, 0.010], [0.354, 0.354, 0.646], [0.657, 0.657, 0.343]]
}

---

Let's list volume in order: 166 114 406 53 Å³/cell.